# 1
Al2Cu2Pt after structural relaxation. Source: Alexandria, functional PBE.

Cell and atoms, written as POSCAR:
```
Al2Cu2Pt
1.0
6.841 0.000 0.000
0.000 6.841 0.000
0.000 0.000 2.917
Al Cu Pt
4 4 2
Cartesian
1.186 2.234 0.000
2.234 5.654 0.000
4.607 1.186 0.000
5.654 4.607 0.000
0.858 4.278 1.458
2.563 0.858 1.458
4.278 5.983 1.458
5.983 2.563 1.458
0.000 0.000 1.458
3.420 3.420 1.458
```

Properties
polymorph energy (0 for the lowest one)	13	meV per atom
magnetization	0.00	μB per cell
mass density	9.15	Mg/m³
ΔE_f	-0.357	eV/atom



# 2
LiHf2Pd7 after structural relaxation. Source: Alexandria, functional PBE.

Cell and atoms, written as POSCAR:
```
LiHf2Pd7
1.0
3.585 -6.820 0.000
3.585 6.820 0.000
0.000 0.000 4.176
Li Hf Pd
1 2 7
Cartesian
0.000 0.000 0.000
3.585 2.713 2.088
3.585 -2.713 2.088
1.351 1.432 2.088
3.585 4.242 0.000
1.351 -1.432 2.088
3.585 0.000 2.088
5.819 1.432 2.088
3.585 -4.242 0.000
5.819 -1.432 2.088
```

Properties
magnetization	0.00	μB per cell
mass density	9.02	Mg/m³
ΔE_f	-0.090	eV/atom



# 3
NiC3S after structural relaxation. Source: Alexandria, functional PBE.

Cell and atoms, written as POSCAR:
```
NiC3S
1.0
3.536 0.000 0.000
0.000 3.536 0.000
0.000 0.000 3.536
Ni C S
1 3 1
Cartesian
0.000 0.000 0.000
0.000 1.768 1.768
1.768 0.000 1.768
1.768 1.768 0.000
1.768 1.768 1.768
```

Properties
polymorph energy (0 for the lowest one)	0	meV per atom
magnetization	0.00	μB per cell
E_form (uncorrected)	2473	meV per atom
mass density	4.76	Mg/m³



# 4
AcCd2Ga after structural relaxation. Source: Alexandria, functional PBE.

Cell and atoms, written as POSCAR:
```
AcCd2Ga
1.0
4.645 0.000 0.000
0.000 4.645 0.000
0.000 0.000 5.160
Ac Cd Ga
1 2 1
Cartesian
0.000 0.000 0.000
0.000 2.322 2.580
2.322 0.000 2.580
2.322 2.322 0.000
```

Properties
polymorph energy (0 for the lowest one)	147	meV per atom
magnetization	0.00	μB per cell
mass density	7.78	Mg/m³
ΔE_f	-0.233	eV/atom



# 5
KTe2S2 after structural relaxation. Source: Alexandria, functional PBE.

Cell and atoms, written as POSCAR:
```
KTe2S2
1.0
-2.729 2.729 5.734
2.729 -2.729 5.734
2.729 2.729 -5.734
K Te S
1 2 2
Cartesian
0.000 0.000 0.000
0.000 0.000 3.411
0.000 0.000 8.057
2.729 0.000 2.867
0.000 2.729 2.867
```

Properties
polymorph energy (0 for the lowest one)	6	meV per atom
magnetization	0.00	μB per cell
E_form (uncorrected)	-220	meV per atom
mass density	3.48	Mg/m³



# 6
LaMgH6Pd4 after structural relaxation. Source: Alexandria, functional PBE.

Cell and atoms, written as POSCAR:
```
LaMgH6Pd4
1.0
4.779 0.000 0.000
-2.390 4.139 0.000
0.000 0.000 7.008
La Mg H Pd
1 1 6 4
Cartesian
0.000 0.000 0.000
0.000 0.000 3.504
-1.195 2.070 1.067
-1.195 2.070 5.941
2.390 0.000 1.067
2.390 0.000 5.941
1.195 2.070 1.067
1.195 2.070 5.941
0.000 2.759 2.160
0.000 2.759 4.848
2.390 1.380 2.160
2.390 1.380 4.848
```

Properties
magnetization	0.00	μB per cell
mass density	7.13	Mg/m³
total DFT energy (no corrections)	-51.64	eV per cell



# 7
CsLiNpCl6 after structural relaxation. Source: Alexandria, functional PBE.

Cell and atoms, written as POSCAR:
```
CsLiNpCl6
1.0
6.861 0.000 0.000
-3.430 5.941 0.000
0.000 0.000 15.648
Cs Li Np Cl
2 2 2 12
Cartesian
0.000 0.000 0.000
0.000 0.000 7.824
0.000 3.961 3.912
3.430 1.980 11.736
0.000 3.961 11.736
3.430 1.980 3.912
-1.275 2.226 10.239
-2.140 3.724 13.232
1.275 2.226 13.232
-0.865 5.933 10.239
2.565 0.009 2.416
1.290 2.217 5.408
2.140 3.724 10.239
0.865 5.933 13.232
4.295 0.009 5.408
2.155 3.715 2.416
5.570 2.217 2.416
4.705 3.715 5.408
```

Properties
magnetization	6.00	μB per cell
E_form (uncorrected)	-1807	meV per atom
mass density	3.07	Mg/m³



# 8
LiCuOs2 after structural relaxation. Source: Alexandria, functional PBE.

Cell and atoms, written as POSCAR:
```
LiCuOs2
1.0
2.673 0.000 0.000
0.000 4.521 0.000
0.000 0.000 4.530
Li Cu Os
1 1 2
Cartesian
0.000 0.000 0.000
1.337 2.261 0.000
0.000 2.261 2.265
1.337 0.000 2.265
```

Properties
polymorph energy (0 for the lowest one)	120	meV per atom
magnetization	0.00	μB per cell
mass density	13.68	Mg/m³
ΔE_f	0.311	eV/atom



# 9
BeIr3 after structural relaxation. Source: Alexandria, functional PBE.

Cell and atoms, written as POSCAR:
```
BeIr3
1.0
5.433 0.000 0.000
-2.716 4.705 0.000
0.000 0.000 4.217
Be Ir
2 6
Cartesian
0.000 3.137 1.054
2.716 1.568 3.163
0.000 1.618 3.163
-1.315 3.896 3.163
1.401 0.809 1.054
1.315 3.896 3.163
4.032 0.809 1.054
2.716 3.087 1.054
```

Properties
magnetization	0.00	μB per cell
mass density	18.05	Mg/m³
ΔE_f	0.007	eV/atom



# 10
NiAuS2 after structural relaxation. Source: Alexandria, functional PBE.

Cell and atoms, written as POSCAR:
```
NiAuS2
1.0
3.649 -3.950 0.000
3.649 3.950 0.000
-3.348 0.000 5.366
Ni Au S
2 2 4
Cartesian
1.138 2.144 4.024
2.812 -2.144 1.341
2.812 0.479 1.341
1.138 -0.479 4.024
1.234 2.286 1.838
4.390 2.286 0.845
-0.440 -2.286 4.521
2.716 -2.286 3.527
```

Properties
magnetization	0.00	μB per cell
E_form (uncorrected)	-6	meV per atom
mass density	6.87	Mg/m³



# 11
TbEr2RuN4 after structural relaxation. Source: Alexandria, functional PBE.

Cell and atoms, written as POSCAR:
```
TbEr2RuN4
1.0
1.685 -5.747 0.000
1.685 5.747 0.000
0.000 0.000 11.526
Tb Er Ru N
2 4 2 8
Cartesian
1.685 4.267 8.645
1.685 -4.267 2.882
1.685 1.508 6.247
1.685 1.508 11.043
1.685 -1.508 0.483
1.685 -1.508 5.280
1.685 4.192 2.882
1.685 -4.192 8.645
0.000 0.000 0.000
0.000 0.000 5.763
1.685 2.675 1.485
1.685 2.675 4.278
1.685 0.550 8.645
1.685 -0.550 2.882
1.685 -2.675 7.248
1.685 -2.675 10.041
```

Properties
magnetization	0.00	μB per cell
E_form (uncorrected)	-1066	meV per atom
mass density	9.68	Mg/m³



# 12
ReBiTe2Os after structural relaxation. Source: Alexandria, functional PBE.

Cell and atoms, written as POSCAR:
```
ReBiTe2Os
1.0
5.974 0.000 0.000
0.000 5.974 0.000
0.000 0.000 5.089
Re Bi Te Os
1 1 2 1
Cartesian
0.000 0.000 0.000
2.987 2.987 2.544
0.000 2.987 2.544
2.987 0.000 2.544
2.987 2.987 0.000
```

Properties
polymorph energy (0 for the lowest one)	0	meV per atom
magnetization	7.75	μB per cell
E_form (uncorrected)	2570	meV per atom
mass density	7.68	Mg/m³